! Ca2CoCu2 PBE optimized geometry; values from VASP
! **ΔE_f**: 0.226 eV/atom
! **Space-group type**: I4/mmm, No. 139
! **Magnetization**: 0.8 Bohr magnetons per cell
! **Raw total energy**: -18.17 eV per formula unit
&SYSTEM
  ibrav = 0, nat = 5, ntyp = 3
/
ATOMIC_SPECIES
Ca 40.08 Ca.upf
Co 58.93 Co.upf
Cu 63.55 Cu.upf
ATOMIC_POSITIONS crystal
Ca 0.101 0.101 0.000
Ca 0.899 0.899 0.000
Co 0.500 0.500 0.000
Cu 0.250 0.750 0.500
Cu 0.750 0.250 0.500
CELL_PARAMETERS angstrom
-1.721 1.721 8.515
1.721 -1.721 8.515
1.721 1.721 -8.515

! Ca2CoCu2 PBE optimized geometry; values from VASP
! **ΔE_f**: 0.161 eV/atom
! **Space-group type**: P4/mbm, No. 127
! **Magnetization**: 2.4 Bohr magnetons per cell
! **Raw total energy**: -18.50 eV per formula unit
&SYSTEM
  ibrav = 0, nat = 10, ntyp = 3
/
ATOMIC_SPECIES
Ca 40.08 Ca.upf
Co 58.93 Co.upf
Cu 63.55 Cu.upf
ATOMIC_POSITIONS crystal
Ca 0.180 0.320 0.000
Ca 0.320 0.820 0.000
Ca 0.680 0.180 0.000
Ca 0.820 0.680 0.000
Co 0.000 0.000 0.500
Co 0.500 0.500 0.500
Cu 0.129 0.629 0.500
Cu 0.371 0.129 0.500
Cu 0.629 0.871 0.500
Cu 0.871 0.371 0.500
CELL_PARAMETERS angstrom
6.816 0.000 0.000
0.000 6.816 0.000
0.000 0.000 4.295

! CaCoCu PBE optimized geometry; values from VASP
! **ΔE_f**: 0.275 eV/atom
! **Space-group type**: Imm2, No. 44
! **Magnetization**: 0.9 Bohr magnetons per cell
! **Raw total energy**: -12.38 eV per formula unit
&SYSTEM
  ibrav = 0, nat = 3, ntyp = 3
/
ATOMIC_SPECIES
Ca 40.08 Ca.upf
Co 58.93 Co.upf
Cu 63.55 Cu.upf
ATOMIC_POSITIONS crystal
Ca 0.000 0.000 0.000
Co 0.708 0.708 0.000
Cu 0.289 0.289 0.000
CELL_PARAMETERS angstrom
-1.625 1.648 4.925
1.625 -1.648 4.925
1.625 1.648 -4.925

! CaCoCu2 PBE optimized geometry; values from VASP
! **ΔE_f**: 0.085 eV/atom
! **Space-group type**: C2/m, No. 12
! **Energy above the lowest structure with this stoichiometry**: 0 meV per atom
! **Magnetization**: 1.1 Bohr magnetons per cell
! **Raw total energy**: -16.96 eV per formula unit
&SYSTEM
  ibrav = 0, nat = 4, ntyp = 3
/
ATOMIC_SPECIES
Ca 40.08 Ca.upf
Co 58.93 Co.upf
Cu 63.55 Cu.upf
ATOMIC_POSITIONS crystal
Ca 0.000 0.000 0.000
Co 0.500 0.500 0.500
Cu 0.195 0.195 0.585
Cu 0.805 0.805 0.415
CELL_PARAMETERS angstrom
3.563 -2.056 0.000
3.563 2.056 0.000
-2.361 0.000 4.890

! CaCo2Cu PBE optimized geometry; values from VASP
! **ΔE_f**: 0.415 eV/atom
! **Space-group type**: I-4m2, No. 119
! **Magnetization**: 2.9 Bohr magnetons per cell
! **Raw total energy**: -18.65 eV per formula unit
&SYSTEM
  ibrav = 0, nat = 4, ntyp = 3
/
ATOMIC_SPECIES
Ca 40.08 Ca.upf
Co 58.93 Co.upf
Cu 63.55 Cu.upf
ATOMIC_POSITIONS crystal
Ca 0.000 0.000 0.000
Co 0.250 0.750 0.500
Co 0.500 0.500 0.000
Cu 0.750 0.250 0.500
CELL_PARAMETERS angstrom
-2.195 2.195 3.149
2.195 -2.195 3.149
2.195 2.195 -3.149

! CaCo2Cu PBE optimized geometry; values from VASP
! **ΔE_f**: 0.540 eV/atom
! **Space-group type**: Cmmm, No. 65
! **Magnetization**: 2.6 Bohr magnetons per cell
! **Raw total energy**: -18.15 eV per formula unit
&SYSTEM
  ibrav = 0, nat = 4, ntyp = 3
/
ATOMIC_SPECIES
Ca 40.08 Ca.upf
Co 58.93 Co.upf
Cu 63.55 Cu.upf
ATOMIC_POSITIONS crystal
Ca 0.000 0.000 0.000
Co 0.000 0.500 0.500
Co 0.500 0.000 0.500
Cu 0.500 0.500 0.000
CELL_PARAMETERS angstrom
2.656 -4.067 0.000
2.656 4.067 0.000
0.000 0.000 2.728

! CaCoCu2 PBE optimized geometry; values from VASP
! **ΔE_f**: 0.395 eV/atom
! **Space-group type**: I-42d, No. 122
! **Energy above the lowest structure with this stoichiometry**: 311 meV per atom
! **Magnetization**: 2.2 Bohr magnetons per cell
! **Raw total energy**: -15.72 eV per formula unit
&SYSTEM
  ibrav = 0, nat = 8, ntyp = 3
/
ATOMIC_SPECIES
Ca 40.08 Ca.upf
Co 58.93 Co.upf
Cu 63.55 Cu.upf
ATOMIC_POSITIONS crystal
Ca 0.000 0.000 0.000
Ca 0.750 0.250 0.500
Co 0.250 0.750 0.500
Co 0.500 0.500 0.000
Cu 0.318 0.625 0.193
Cu 0.375 0.568 0.693
Cu 0.432 0.125 0.807
Cu 0.875 0.682 0.307
CELL_PARAMETERS angstrom
-2.232 2.232 8.198
2.232 -2.232 8.198
2.232 2.232 -8.198

! CaCoCu2 PBE optimized geometry; values from VASP
! **ΔE_f**: 0.327 eV/atom
! **Space-group type**: Fm-3m, No. 225
! **Energy above the lowest structure with this stoichiometry**: 242 meV per atom
! **Magnetization**: 1.2 Bohr magnetons per cell
! **Raw total energy**: -15.99 eV per formula unit
&SYSTEM
  ibrav = 0, nat = 4, ntyp = 3
/
ATOMIC_SPECIES
Ca 40.08 Ca.upf
Co 58.93 Co.upf
Cu 63.55 Cu.upf
ATOMIC_POSITIONS crystal
Ca 0.000 0.000 0.000
Co 0.500 0.500 0.500
Cu 0.250 0.250 0.250
Cu 0.750 0.750 0.750
CELL_PARAMETERS angstrom
0.000 3.173 3.173
3.173 0.000 3.173
3.173 3.173 0.000

! CaCoCu PBE optimized geometry; values from VASP
! **ΔE_f**: 0.212 eV/atom
! **Space-group type**: P-6m2, No. 187
! **Magnetization**: 0.9 Bohr magnetons per cell
! **Raw total energy**: -12.57 eV per formula unit
&SYSTEM
  ibrav = 0, nat = 3, ntyp = 3
/
ATOMIC_SPECIES
Ca 40.08 Ca.upf
Co 58.93 Co.upf
Cu 63.55 Cu.upf
ATOMIC_POSITIONS crystal
Ca 0.000 0.000 0.000
Co 0.667 0.333 0.500
Cu 0.333 0.667 0.500
CELL_PARAMETERS angstrom
4.070 0.000 0.000
-2.035 3.525 0.000
0.000 0.000 3.981

! CaCo2Cu2 PBE optimized geometry; values from VASP
! **ΔE_f**: 0.232 eV/atom
! **Space-group type**: P4/mbm, No. 127
! **Energy above the lowest structure with this stoichiometry**: 23 meV per atom
! **Magnetization**: 5.5 Bohr magnetons per cell
! **Raw total energy**: -23.24 eV per formula unit
&SYSTEM
  ibrav = 0, nat = 10, ntyp = 3
/
ATOMIC_SPECIES
Ca 40.08 Ca.upf
Co 58.93 Co.upf
Cu 63.55 Cu.upf
ATOMIC_POSITIONS crystal
Ca 0.000 0.000 0.000
Ca 0.500 0.500 0.000
Co 0.112 0.388 0.000
Co 0.388 0.888 0.000
Co 0.612 0.112 0.000
Co 0.888 0.612 0.000
Cu 0.179 0.679 0.500
Cu 0.321 0.179 0.500
Cu 0.679 0.821 0.500
Cu 0.821 0.321 0.500
CELL_PARAMETERS angstrom
7.298 0.000 0.000
0.000 7.298 0.000
0.000 0.000 2.688

! CaCoCu2 PBE optimized geometry; values from VASP
! **ΔE_f**: 0.308 eV/atom
! **Space-group type**: I-4m2, No. 119
! **Energy above the lowest structure with this stoichiometry**: 224 meV per atom
! **Magnetization**: 1.0 Bohr magnetons per cell
! **Raw total energy**: -16.07 eV per formula unit
&SYSTEM
  ibrav = 0, nat = 4, ntyp = 3
/
ATOMIC_SPECIES
Ca 40.08 Ca.upf
Co 58.93 Co.upf
Cu 63.55 Cu.upf
ATOMIC_POSITIONS crystal
Ca 0.000 0.000 0.000
Co 0.250 0.750 0.500
Cu 0.500 0.500 0.000
Cu 0.750 0.250 0.500
CELL_PARAMETERS angstrom
-1.960 1.960 4.035
1.960 -1.960 4.035
1.960 1.960 -4.035

! CaCoCu2 PBE optimized geometry; values from VASP
! **ΔE_f**: 0.237 eV/atom
! **Space-group type**: P4/mmm, No. 123
! **Energy above the lowest structure with this stoichiometry**: 152 meV per atom
! **Magnetization**: 1.5 Bohr magnetons per cell
! **Raw total energy**: -16.35 eV per formula unit
&SYSTEM
  ibrav = 0, nat = 4, ntyp = 3
/
ATOMIC_SPECIES
Ca 40.08 Ca.upf
Co 58.93 Co.upf
Cu 63.55 Cu.upf
ATOMIC_POSITIONS crystal
Ca 0.000 0.000 0.000
Co 0.000 0.000 0.500
Cu 0.500 0.500 0.311
Cu 0.500 0.500 0.689
CELL_PARAMETERS angstrom
3.176 0.000 0.000
0.000 3.176 0.000
0.000 0.000 6.362

! CaCo2Cu PBE optimized geometry; values from VASP
! **ΔE_f**: 0.499 eV/atom
! **Space-group type**: C2/m, No. 12
! **Magnetization**: 2.6 Bohr magnetons per cell
! **Raw total energy**: -18.31 eV per formula unit
&SYSTEM
  ibrav = 0, nat = 4, ntyp = 3
/
ATOMIC_SPECIES
Ca 40.08 Ca.upf
Co 58.93 Co.upf
Cu 63.55 Cu.upf
ATOMIC_POSITIONS crystal
Ca 0.000 0.000 0.000
Co 0.000 0.500 0.500
Co 0.500 0.000 0.500
Cu 0.500 0.500 0.000
CELL_PARAMETERS angstrom
2.640 -4.453 0.000
2.640 4.453 0.000
-1.044 0.000 2.491

! CaCo2Cu PBE optimized geometry; values from VASP
! **ΔE_f**: 0.712 eV/atom
! **Space-group type**: R-3m, No. 166
! **Magnetization**: 2.1 Bohr magnetons per cell
! **Raw total energy**: -17.46 eV per formula unit
&SYSTEM
  ibrav = 0, nat = 4, ntyp = 3
/
ATOMIC_SPECIES
Ca 40.08 Ca.upf
Co 58.93 Co.upf
Cu 63.55 Cu.upf
ATOMIC_POSITIONS crystal
Ca 0.000 0.000 0.000
Co 0.242 0.242 0.242
Co 0.758 0.758 0.758
Cu 0.500 0.500 0.500
CELL_PARAMETERS angstrom
1.383 0.799 8.711
-1.383 0.799 8.711
0.000 -1.597 8.711

! CaCo2Cu PBE optimized geometry; values from VASP
! **ΔE_f**: 0.379 eV/atom
! **Space-group type**: Imm2, No. 44
! **Magnetization**: 2.9 Bohr magnetons per cell
! **Raw total energy**: -18.79 eV per formula unit
&SYSTEM
  ibrav = 0, nat = 4, ntyp = 3
/
ATOMIC_SPECIES
Ca 40.08 Ca.upf
Co 58.93 Co.upf
Cu 63.55 Cu.upf
ATOMIC_POSITIONS crystal
Ca 0.000 0.000 0.000
Co 0.286 0.786 0.500
Co 0.479 0.479 0.000
Cu 0.715 0.215 0.500
CELL_PARAMETERS angstrom
-1.568 2.291 4.367
1.568 -2.291 4.367
1.568 2.291 -4.367